BeRe2I: optimized geometry, PBE.

Fermi-level density of states   0.46 states/eV/atom
Uncorrected formation energy   429 kJ/mol of formula units
Symmetry   Fm-3m (225)

a b c (Å): 4.381 4.381 4.381
angles (deg): 60.00 60.00 60.00
Sites, in units of the cell vectors:
I 0.500 0.500 0.500
Re 0.250 0.250 0.250
Re 0.750 0.750 0.750
Be 0.000 0.000 0.000

---

BeRe2I: optimized geometry, PBE.

Fermi-level density of states   0.70 states/eV/atom
Uncorrected formation energy   437 kJ/mol of formula units
Symmetry   I-42d (122)

a b c (Å): 4.224 4.224 8.719
angles (deg): 75.98 75.98 90.00
Sites, in units of the cell vectors:
I 0.000 0.000 0.000
I 0.750 0.250 0.500
Re 0.535 0.125 0.250
Re 0.215 0.625 0.250
Re 0.375 0.465 0.750
Re 0.875 0.785 0.750
Be 0.500 0.500 0.000
Be 0.250 0.750 0.500

---

BeReI3: optimized geometry, PBE.

Fermi-level density of states   0.54 states/eV/atom
Uncorrected formation energy   546 kJ/mol of formula units
Symmetry   Pm-3m (221)

a b c (Å): 5.530 5.530 5.530
angles (deg): 90.00 90.00 90.00
Last column: magnetic moment on the atom in μB.
Sites, in units of the cell vectors:
I 0.000 0.500 0.000  0.05
I 0.000 0.000 0.500  0.05
I 0.500 0.000 0.000  0.13
Re 0.000 0.000 0.000  2.28
Be 0.500 0.500 0.500  -0.04

---

BeReI2: optimized geometry, PBE.

Fermi-level density of states   0.75 states/eV/atom
Uncorrected formation energy   556 kJ/mol of formula units
Symmetry   Fm-3m (225)

a b c (Å): 4.787 4.787 4.787
angles (deg): 60.00 60.00 60.00
Sites, in units of the cell vectors:
I 0.250 0.250 0.250
I 0.750 0.750 0.750
Re 0.500 0.500 0.500
Be 0.000 0.000 0.000